The following is a DFT calculation (PBE) of a geometry-optimized Er2PaAg structure.

Values from the calculation:
* M_tot: 0.0 μB per formula unit
* energy relative to the lowest polymorph listed for this composition: 292 meV per atom
* formation energy from the elements: 243 meV/atom
* electronic total energy: -5.125 eV per atom

Cell: 3.215 3.215 11.568 Å, 82.01 82.01 60.00°
Fractional positions:
Pa1 0.000 0.000 0.000
Ag1 0.500 0.500 0.500
Er1 0.093 0.093 0.721
Er2 0.907 0.907 0.279

The following is a DFT calculation (PBE) of a geometry-optimized Er2PaAg structure.

Values from the calculation:
* M_tot: 0.0 μB per formula unit
* energy relative to the lowest polymorph listed for this composition: 170 meV per atom
* formation energy from the elements: 121 meV/atom
* electronic total energy: -5.248 eV per atom

Cell: 3.380 5.459 5.459 Å, 90.00 90.00 90.00°
Fractional positions:
Pa1 0.500 0.500 0.500
Ag1 0.500 0.000 0.000
Er1 0.000 0.000 0.500
Er2 0.000 0.500 0.000

The following is a DFT calculation (PBE) of a geometry-optimized Er2PaAg structure.

Values from the calculation:
* M_tot: 0.0 μB per formula unit
* energy relative to the lowest polymorph listed for this composition: 0 meV per atom
* formation energy from the elements: -49 meV/atom
* electronic total energy: -5.417 eV per atom

Cell: 3.444 3.444 8.553 Å, 90.00 90.00 90.00°
Fractional positions:
Pa1 0.500 0.500 0.500
Ag1 0.500 0.500 0.000
Er1 0.000 0.000 0.771
Er2 0.000 0.000 0.229

The following is a DFT calculation (PBE) of a geometry-optimized ErPaAgPd structure.

Values from the calculation:
* M_tot: 0.9 μB per formula unit
* formation energy from the elements: -211 meV/atom
* electronic total energy: -5.737 eV per atom

Cell: 5.040 5.040 5.040 Å, 60.00 60.00 60.00°
Site moments in Bohr magnetons follow the coordinates.
Fractional positions:
Pa1 0.750 0.750 0.750  0.72
Pd1 0.500 0.500 0.500  -0.02
Ag1 0.000 0.000 0.000  0.00
Er1 0.250 0.250 0.250  0.11

The following is a DFT calculation (PBE) of a geometry-optimized ErPaSiAg structure.

Values from the calculation:
* M_tot: 0.9 μB per formula unit
* electronic total energy: -5.694 eV per atom

Cell: 5.021 5.021 5.021 Å, 60.00 60.00 60.00°
Site moments in Bohr magnetons follow the coordinates.
Fractional positions:
Si1 0.750 0.750 0.750  0.00
Pa1 0.000 0.000 0.000  0.58
Ag1 0.250 0.250 0.250  0.01
Er1 0.500 0.500 0.500  0.12

The following is a DFT calculation (PBE) of a geometry-optimized ErPaTcAg structure.

Values from the calculation:
* M_tot: 0.0 μB per formula unit
* formation energy from the elements: -4 meV/atom
* electronic total energy: -6.823 eV per atom

Cell: 4.965 4.965 4.965 Å, 60.00 60.00 60.00°
Fractional positions:
Pa1 0.250 0.250 0.250
Tc1 0.500 0.500 0.500
Ag1 0.000 0.000 0.000
Er1 0.750 0.750 0.750

The following is a DFT calculation (PBE) of a geometry-optimized ErPaTlAg structure.

Values from the calculation:
* M_tot: 2.1 μB per formula unit
* formation energy from the elements: 102 meV/atom
* electronic total energy: -4.717 eV per atom

Cell: 5.258 5.258 5.258 Å, 60.00 60.00 60.00°
Site moments in Bohr magnetons follow the coordinates.
Fractional positions:
Tl1 0.750 0.750 0.750  -0.01
Pa1 0.000 0.000 0.000  1.21
Ag1 0.250 0.250 0.250  0.04
Er1 0.500 0.500 0.500  0.38

The following is a DFT calculation (PBE) of a geometry-optimized Er4AgPb structure.

Values from the calculation:
* M_tot: 0.0 μB per formula unit
* formation energy from the elements: -258 meV/atom
* electronic total energy: -4.394 eV per atom

Cell: 9.838 9.838 9.838 Å, 60.00 60.00 60.00°
Fractional positions:
Er1 0.363 0.363 0.363
Er2 0.911 0.363 0.363
Er3 0.363 0.911 0.363
Er4 0.363 0.363 0.911
Er5 0.563 0.563 0.937
Er6 0.937 0.937 0.563
Er7 0.563 0.937 0.563
Er8 0.937 0.563 0.937
Er9 0.937 0.563 0.563
Er10 0.563 0.937 0.937
Er11 0.185 0.185 0.815
Er12 0.815 0.815 0.185
Er13 0.185 0.815 0.185
Er14 0.815 0.185 0.815
Er15 0.815 0.185 0.185
Er16 0.185 0.815 0.815
Ag1 0.150 0.150 0.150
Ag2 0.550 0.150 0.150
Ag3 0.150 0.550 0.150
Ag4 0.150 0.150 0.550
Pb1 0.594 0.594 0.594
Pb2 0.218 0.594 0.594
Pb3 0.594 0.218 0.594
Pb4 0.594 0.594 0.218

The following is a DFT calculation (PBE) of a geometry-optimized Er2AgPb3 structure.

Values from the calculation:
* M_tot: 0.0 μB per formula unit
* formation energy from the elements: -251 meV/atom
* electronic total energy: -4.101 eV per atom

Cell: 6.424 8.535 8.535 Å, 136.21 90.00 90.00°
Fractional positions:
Er1 0.576 0.928 0.618
Er2 0.076 0.382 0.072
Er3 0.576 0.618 0.928
Er4 0.076 0.072 0.382
Ag1 0.827 0.500 0.500
Ag2 0.327 0.500 0.500
Pb1 0.076 0.864 0.567
Pb2 0.576 0.433 0.136
Pb3 0.076 0.567 0.864
Pb4 0.576 0.136 0.433
Pb5 0.326 0.000 0.000
Pb6 0.826 0.000 0.000

The following is a DFT calculation (PBE) of a geometry-optimized Er5Ag4Pb structure.

Values from the calculation:
* M_tot: 0.0 μB per formula unit
* formation energy from the elements: -345 meV/atom
* electronic total energy: -4.137 eV per atom

Cell: 3.553 3.553 19.207 Å, 90.00 90.00 90.00°
Fractional positions:
Er1 0.500 0.500 0.115
Er2 0.500 0.500 0.308
Er3 0.500 0.500 0.500
Er4 0.500 0.500 0.692
Er5 0.500 0.500 0.885
Ag1 0.000 0.000 0.213
Ag2 0.000 0.000 0.403
Ag3 0.000 0.000 0.597
Ag4 0.000 0.000 0.787
Pb1 0.000 0.000 0.000

The following is a DFT calculation (PBE) of a geometry-optimized ErAg2Pb structure.

Values from the calculation:
* M_tot: 0.0 μB per formula unit
* formation energy from the elements: -213 meV/atom
* electronic total energy: -3.706 eV per atom

Cell: 3.798 3.798 6.543 Å, 90.00 90.00 90.00°
Fractional positions:
Pb1 0.500 0.500 0.500
Ag1 0.000 0.000 0.770
Ag2 0.000 0.000 0.230
Er1 0.500 0.500 0.000

The following is a DFT calculation (PBE) of a geometry-optimized ErAg4Pb structure.

Values from the calculation:
* M_tot: 0.0 μB per formula unit
* formation energy from the elements: -134 meV/atom
* electronic total energy: -3.413 eV per atom

Cell: 5.663 5.663 5.663 Å, 60.00 60.00 60.00°
Fractional positions:
Pb1 0.000 0.000 0.000
Ag1 0.625 0.625 0.126
Ag2 0.625 0.126 0.625
Ag3 0.625 0.625 0.625
Ag4 0.126 0.625 0.625
Er1 0.250 0.250 0.250

The following is a DFT calculation (PBE) of a geometry-optimized Er3AgPb3 structure.

Values from the calculation:
* M_tot: 0.0 μB per formula unit
* formation energy from the elements: -360 meV/atom
* electronic total energy: -4.312 eV per atom

Cell: 4.566 6.236 14.587 Å, 81.03 81.00 68.52°
Fractional positions:
Er1 0.529 0.326 0.617
Er2 0.471 0.674 0.383
Er3 0.278 0.218 0.226
Er4 0.722 0.782 0.774
Er5 0.406 0.268 0.921
Er6 0.594 0.732 0.079
Ag1 0.781 0.063 0.375
Ag2 0.219 0.937 0.625
Pb1 0.858 0.734 0.551
Pb2 0.142 0.266 0.449
Pb3 0.136 0.802 0.926
Pb4 0.864 0.198 0.074
Pb5 0.005 0.762 0.229
Pb6 0.995 0.238 0.771

The following is a DFT calculation (PBE) of a geometry-optimized Er3Ag2Pb4 structure.

Values from the calculation:
* M_tot: 0.0 μB per formula unit
* formation energy from the elements: -181 meV/atom
* electronic total energy: -3.983 eV per atom

Cell: 5.171 5.171 20.450 Å, 90.00 90.00 60.00°
Fractional positions:
Pb1 0.667 0.667 0.499
Pb2 0.667 0.667 0.843
Pb3 0.666 0.667 0.024
Pb4 0.667 0.667 0.316
Pb5 0.667 0.667 0.674
Pb6 0.333 0.333 0.342
Pb7 0.334 0.333 0.659
Pb8 0.333 0.333 0.987
Ag1 0.333 0.334 0.168
Ag2 0.334 0.333 0.498
Ag3 0.334 0.333 0.818
Ag4 0.666 0.667 0.170
Er1 0.000 0.000 0.245
Er2 0.000 0.000 0.581
Er3 0.000 0.000 0.918
Er4 0.000 0.000 0.091
Er5 0.000 0.000 0.416
Er6 0.000 0.000 0.752

The following is a DFT calculation (PBE) of a geometry-optimized ErAg2Pb structure.

Values from the calculation:
* M_tot: 0.0 μB per formula unit
* formation energy from the elements: -148 meV/atom
* electronic total energy: -3.642 eV per atom

Cell: 5.946 3.295 4.860 Å, 90.07 90.02 89.91°
Fractional positions:
Er1 0.250 0.750 0.500
Ag1 0.020 0.251 0.000
Ag2 0.480 0.249 0.000
Pb1 0.750 0.250 0.500

The following is a DFT calculation (PBE) of a geometry-optimized ErAg3Pb structure.

Values from the calculation:
* M_tot: 0.0 μB per formula unit
* formation energy from the elements: -18 meV/atom
* electronic total energy: -3.383 eV per atom

Cell: 3.434 4.673 14.655 Å, 99.17 90.00 90.00°
Fractional positions:
Er1 0.500 0.821 0.642
Er2 0.500 0.179 0.358
Ag1 0.000 0.050 0.099
Ag2 0.000 0.950 0.901
Ag3 0.000 0.273 0.547
Ag4 0.000 0.727 0.453
Ag5 0.500 0.454 0.908
Ag6 0.500 0.546 0.092
Pb1 0.000 0.626 0.253
Pb2 0.000 0.374 0.747

The following is a DFT calculation (PBE) of a geometry-optimized Er4Ag2Pb structure.

Values from the calculation:
* M_tot: 0.0 μB per formula unit
* formation energy from the elements: -192 meV/atom
* electronic total energy: -4.144 eV per atom

Cell: 5.149 5.149 8.677 Å, 72.74 72.74 60.00°
Fractional positions:
Pb1 0.000 0.000 0.000
Ag1 0.746 0.746 0.762
Ag2 0.254 0.254 0.238
Er1 0.868 0.868 0.397
Er2 0.132 0.132 0.603
Er3 0.612 0.612 0.164
Er4 0.388 0.388 0.836

The following is a DFT calculation (PBE) of a geometry-optimized Er3Ag4Pb2 structure.

Values from the calculation:
* M_tot: 0.0 μB per formula unit
* formation energy from the elements: -300 meV/atom
* electronic total energy: -3.912 eV per atom

Cell: 4.754 5.989 9.241 Å, 115.19 90.00 113.38°
Fractional positions:
Er1 0.660 0.319 0.678
Er2 0.000 0.000 0.000
Er3 0.340 0.681 0.322
Ag1 0.707 0.415 0.033
Ag2 0.293 0.585 0.967
Ag3 0.917 0.833 0.574
Ag4 0.083 0.167 0.426
Pb1 0.614 0.227 0.275
Pb2 0.386 0.773 0.725

The following is a DFT calculation (PBE) of a geometry-optimized Er4Ag3Pb structure.

Values from the calculation:
* M_tot: 0.0 μB per formula unit
* formation energy from the elements: -358 meV/atom
* electronic total energy: -4.172 eV per atom

Cell: 5.142 5.142 8.272 Å, 108.14 108.11 90.00°
Fractional positions:
Pb1 0.500 0.000 0.000
Ag1 0.000 0.500 0.000
Ag2 0.755 0.255 0.510
Ag3 0.245 0.745 0.490
Er1 0.369 0.369 0.738
Er2 0.631 0.631 0.262
Er3 0.131 0.131 0.262
Er4 0.869 0.869 0.738

The following is a DFT calculation (PBE) of a geometry-optimized Er5Ag2Pb structure.

Values from the calculation:
* M_tot: 0.0 μB per formula unit
* formation energy from the elements: -297 meV/atom
* electronic total energy: -4.325 eV per atom

Cell: 8.012 8.012 8.733 Å, 117.30 117.30 90.00°
Fractional positions:
Er1 0.506 0.698 0.704
Er2 0.802 0.994 0.296
Er3 0.000 0.000 0.000
Er4 0.500 0.500 0.000
Er5 0.198 0.006 0.704
Er6 0.698 0.198 0.704
Er7 0.006 0.506 0.704
Er8 0.302 0.802 0.296
Er9 0.994 0.494 0.296
Er10 0.494 0.302 0.296
Ag1 0.134 0.366 0.000
Ag2 0.634 0.134 0.000
Ag3 0.366 0.866 0.000
Ag4 0.866 0.634 0.000
Pb1 0.750 0.750 0.500
Pb2 0.250 0.250 0.500

The following is a DFT calculation (PBE) of a geometry-optimized ErAg2Pb2 structure.

Values from the calculation:
* M_tot: 0.0 μB per formula unit
* formation energy from the elements: -186 meV/atom
* electronic total energy: -3.722 eV per atom

Cell: 4.573 4.564 11.753 Å, 90.00 101.22 90.00°
Fractional positions:
Er1 0.364 0.250 0.727
Er2 0.636 0.750 0.273
Ag1 0.039 0.750 0.078
Ag2 0.462 0.750 0.924
Ag3 0.961 0.250 0.922
Ag4 0.538 0.250 0.076
Pb1 0.750 0.250 0.500
Pb2 0.250 0.750 0.500
Pb3 0.877 0.750 0.753
Pb4 0.123 0.250 0.247

The following is a DFT calculation (PBE) of a geometry-optimized Er8Ag2Pb structure.

Values from the calculation:
* M_tot: 0.0 μB per formula unit
* energy relative to the lowest polymorph listed for this composition: 0 meV per atom
* formation energy from the elements: -189 meV/atom
* electronic total energy: -4.363 eV per atom

Cell: 5.129 8.182 8.547 Å, 116.20 107.46 90.00°
Fractional positions:
Er1 0.601 0.467 0.202
Er2 0.313 0.034 0.627
Er3 0.154 0.216 0.309
Er4 0.062 0.728 0.124
Er5 0.846 0.784 0.691
Er6 0.687 0.966 0.373
Er7 0.399 0.533 0.798
Er8 0.938 0.272 0.876
Ag1 0.211 0.620 0.423
Ag2 0.789 0.380 0.577
Pb1 0.500 0.000 0.000

The following is a DFT calculation (PBE) of a geometry-optimized ErAgPb3 structure.

Values from the calculation:
* M_tot: 0.0 μB per formula unit
* formation energy from the elements: -70 meV/atom
* electronic total energy: -3.778 eV per atom

Cell: 6.244 6.797 4.865 Å, 90.01 112.93 126.11°
Fractional positions:
Er1 0.780 0.237 0.366
Ag1 0.082 0.669 0.017
Pb1 0.394 0.287 0.672
Pb2 0.451 0.829 0.701
Pb3 0.748 0.703 0.349

The following is a DFT calculation (PBE) of a geometry-optimized Er8Ag2Pb structure.

Values from the calculation:
* M_tot: 0.2 μB per formula unit
* energy relative to the lowest polymorph listed for this composition: 107 meV per atom
* formation energy from the elements: -82 meV/atom
* electronic total energy: -4.256 eV per atom

Cell: 5.449 8.231 8.231 Å, 115.80 99.59 99.59°
Fractional positions:
Er1 0.897 0.910 0.671
Er2 0.897 0.671 0.910
Er3 0.303 0.602 0.602
Er4 0.500 0.766 0.234
Er5 0.500 0.234 0.766
Er6 0.697 0.398 0.398
Er7 0.103 0.329 0.090
Er8 0.103 0.090 0.329
Ag1 0.000 0.304 0.696
Ag2 0.000 0.696 0.304
Pb1 0.500 0.000 0.000